(1)
Below is a relaxed structure of MnZnCdIn2, with properties calculated at the GGA-PBE level.

Lattice parameters (Å, degrees): 5.139 5.139 4.852 90.00 90.00 90.00
Sites, in units of the cell vectors:
Mn  0.000  0.000  0.000
Zn  0.000  0.000  0.500
Cd  0.500  0.500  0.500
In  0.000  0.500  0.000
In  0.500  0.000  0.000

Values from the calculation:
- DOS at the Fermi energy: 3.40 states/eV/cell
- Size of the total moment: 2.68 μB per cell
- Volume: 25.63 Å³ per atom
- Energy relative to the elements: 0.39 eV per atom
- E: -2.974 eV per atom



(2)
Below is a relaxed structure of RbHfNpO6, with properties calculated at the GGA-PBE level.

Lattice parameters (Å, degrees): 7.708 7.708 7.708 121.39 117.88 90.66
Sites, in units of the cell vectors:
Rb  0.345  0.095  0.250
Rb  0.655  0.905  0.750
Hf  0.000  0.000  0.500
Hf  0.000  0.500  0.000
Np  0.000  0.500  0.500
Np  0.500  0.500  0.000
O  0.062  0.435  0.255
O  0.062  0.807  0.627
O  0.066  0.816  0.250
O  0.318  0.568  0.750
O  0.320  0.193  0.755
O  0.320  0.565  0.127
O  0.680  0.435  0.873
O  0.680  0.807  0.245
O  0.682  0.432  0.250
O  0.934  0.184  0.750
O  0.938  0.193  0.373
O  0.938  0.565  0.745

Values from the calculation:
- Size of the total moment: 0.00 μB per cell
- Formation energy without anion corrections: -2756 meV per atom
- Volume: 18.07 Å³ per atom
- E: -8.713 eV per atom



(3)
Below is a relaxed structure of PuGaCu, with properties calculated at the GGA-PBE level.

Lattice parameters (Å, degrees): 4.723 4.189 6.313 90.00 90.00 90.00
Sites, in units of the cell vectors:
Pu  0.250  0.000  0.139
Pu  0.750  0.000  0.861
Ga  0.250  0.500  0.780
Ga  0.750  0.500  0.220
Cu  0.250  0.000  0.584
Cu  0.750  0.000  0.416

Values from the calculation:
- DOS at the Fermi energy: 16.29 states/eV/cell
- Size of the total moment: 11.21 μB per cell
- Volume: 20.82 Å³ per atom
- Energy relative to the elements: 0.05 eV per atom
- E: -7.106 eV per atom



(4)
Below is a relaxed structure of Ca2MnZn2Pt5, with properties calculated at the GGA-PBE level.

Lattice parameters (Å, degrees): 9.690 9.690 3.737 90.00 90.00 90.00
Sites, in units of the cell vectors:
Ca  0.175  0.325  0.000
Ca  0.325  0.825  0.000
Ca  0.675  0.175  0.000
Ca  0.825  0.675  0.000
Mn  0.000  0.000  0.000
Mn  0.500  0.500  0.000
Zn  0.125  0.625  0.000
Zn  0.375  0.125  0.000
Zn  0.625  0.875  0.000
Zn  0.875  0.375  0.000
Pt  0.000  0.500  0.500
Pt  0.062  0.799  0.500
Pt  0.201  0.062  0.500
Pt  0.299  0.562  0.500
Pt  0.438  0.299  0.500
Pt  0.500  0.000  0.500
Pt  0.562  0.701  0.500
Pt  0.701  0.438  0.500
Pt  0.799  0.938  0.500
Pt  0.938  0.201  0.500

Values from the calculation:
- DOS at the Fermi energy: 8.19 states/eV/cell
- Size of the total moment: 8.88 μB per cell
- Volume: 17.55 Å³ per atom
- Energy relative to the elements: -0.65 eV per atom
- E: -5.244 eV per atom



(5)
Below is a relaxed structure of Na4MgCl6, with properties calculated at the GGA-PBE level.

Lattice parameters (Å, degrees): 8.034 8.034 8.034 91.28 91.28 91.28
Sites, in units of the cell vectors:
Na  0.112  0.750  0.388
Na  0.250  0.250  0.250
Na  0.250  0.612  0.888
Na  0.388  0.112  0.750
Na  0.612  0.888  0.250
Na  0.750  0.388  0.112
Na  0.750  0.750  0.750
Na  0.888  0.250  0.612
Mg  0.000  0.000  0.000
Mg  0.500  0.500  0.500
Cl  0.049  0.933  0.699
Cl  0.067  0.301  0.951
Cl  0.199  0.433  0.549
Cl  0.301  0.951  0.067
Cl  0.433  0.549  0.199
Cl  0.451  0.801  0.567
Cl  0.549  0.199  0.433
Cl  0.567  0.451  0.801
Cl  0.699  0.049  0.933
Cl  0.801  0.567  0.451
Cl  0.933  0.699  0.049
Cl  0.951  0.067  0.301

Values from the calculation:
- DOS at the Fermi energy: 0.00 states/eV/cell
- Size of the total moment: 0.00 μB per cell
- Formation energy without anion corrections: -1769 meV per atom
- Volume: 23.55 Å³ per atom
- E: -3.401 eV per atom



(6)
Below is a relaxed structure of ScNbTc, with properties calculated at the GGA-PBE level.

Lattice parameters (Å, degrees): 5.637 5.637 5.637 146.57 146.57 48.00
Sites, in units of the cell vectors:
Sc  0.000  0.000  0.000
Nb  0.303  0.303  0.000
Tc  0.669  0.669  0.000

Values from the calculation:
- DOS at the Fermi energy: 3.20 states/eV/cell
- Size of the total moment: 0.00 μB per cell
- Volume: 18.05 Å³ per atom
- Energy relative to the elements: -0.20 eV per atom
- E: -9.121 eV per atom



(7)
Below is a relaxed structure of Be4NbPd5, with properties calculated at the GGA-PBE level.

Lattice parameters (Å, degrees): 2.813 2.813 15.588 90.00 90.00 90.00
Sites, in units of the cell vectors:
Be  0.000  0.000  0.091
Be  0.000  0.000  0.277
Be  0.000  0.000  0.723
Be  0.000  0.000  0.909
Nb  0.000  0.000  0.500
Pd  0.500  0.500  0.000
Pd  0.500  0.500  0.182
Pd  0.500  0.500  0.364
Pd  0.500  0.500  0.636
Pd  0.500  0.500  0.818

Values from the calculation:
- DOS at the Fermi energy: 3.22 states/eV/cell
- Size of the total moment: 0.00 μB per cell
- Volume: 12.33 Å³ per atom
- Energy relative to the elements: -0.56 eV per atom
- E: -5.652 eV per atom



(8)
Below is a relaxed structure of PaGeN2, with properties calculated at the GGA-PBE level.

Lattice parameters (Å, degrees): 6.731 6.731 6.731 31.01 31.01 31.01
Sites, in units of the cell vectors:
Pa  0.000  0.000  0.000
Ge  0.500  0.500  0.500
N  0.384  0.384  0.384
N  0.616  0.616  0.616

Values from the calculation:
- DOS at the Fermi energy: 1.02 states/eV/cell
- Size of the total moment: 0.00 μB per cell
- Formation energy without anion corrections: -763 meV per atom
- Volume: 17.95 Å³ per atom
- E: -8.454 eV per atom



(9)
Below is a relaxed structure of BaNaTaSn2, with properties calculated at the GGA-PBE level.

Lattice parameters (Å, degrees): 5.382 5.382 5.515 90.00 90.00 90.00
Sites, in units of the cell vectors:
Ba  0.000  0.000  0.000
Na  0.000  0.000  0.500
Ta  0.500  0.500  0.000
Sn  0.000  0.500  0.500
Sn  0.500  0.000  0.500

Values from the calculation:
- DOS at the Fermi energy: 5.23 states/eV/cell
- Size of the total moment: 3.02 μB per cell
- Volume: 31.95 Å³ per atom
- Energy relative to the elements: 1.15 eV per atom
- E: -3.468 eV per atom



(10)
Below is a relaxed structure of Pr2HgO2, with properties calculated at the GGA-PBE level.

Lattice parameters (Å, degrees): 6.961 6.961 6.961 145.10 145.10 50.19
Sites, in units of the cell vectors:
Pr  0.159  0.159  0.000
Pr  0.841  0.841  0.000
Hg  0.500  0.500  0.000
O  0.250  0.750  0.500
O  0.750  0.250  0.500

Values from the calculation:
- DOS at the Fermi energy: 2.53 states/eV/cell
- Size of the total moment: 0.00 μB per cell
- Formation energy without anion corrections: -2354 meV per atom
- Volume: 21.98 Å³ per atom
- E: -6.309 eV per atom



(11)
Below is a relaxed structure of Rb2MnBi2, with properties calculated at the GGA-PBE level.

Lattice parameters (Å, degrees): 3.623 3.623 16.988 90.00 90.00 90.00
Sites, in units of the cell vectors:
Rb  0.000  0.000  0.132
Rb  0.000  0.000  0.868
Mn  0.000  0.000  0.500
Bi  0.000  0.000  0.340
Bi  0.000  0.000  0.660

Values from the calculation:
- DOS at the Fermi energy: 4.04 states/eV/cell
- Size of the total moment: 4.47 μB per cell
- Volume: 44.60 Å³ per atom
- Energy relative to the elements: 0.52 eV per atom
- E: -3.258 eV per atom



(12)
Below is a relaxed structure of SmTmNi2, with properties calculated at the GGA-PBE level.

Lattice parameters (Å, degrees): 4.221 5.430 5.430 40.46 90.00 90.00
Sites, in units of the cell vectors:
Sm  0.000  0.000  0.000
Tm  0.500  0.721  0.721
Ni  0.000  0.284  0.284
Ni  0.500  0.427  0.427

Values from the calculation:
- DOS at the Fermi energy: 2.54 states/eV/cell
- Size of the total moment: 0.00 μB per cell
- Volume: 20.19 Å³ per atom
- Energy relative to the elements: -0.43 eV per atom
- E: -5.618 eV per atom



(13)
Below is a relaxed structure of TbSmErIn, with properties calculated at the GGA-PBE level.

Lattice parameters (Å, degrees): 5.477 5.477 5.477 60.00 60.00 60.00
Sites, in units of the cell vectors:
Tb  0.000  0.000  0.000
Sm  0.500  0.500  0.500
Er  0.750  0.750  0.750
In  0.250  0.250  0.250

Values from the calculation:
- DOS at the Fermi energy: 6.44 states/eV/cell
- Size of the total moment: 0.92 μB per cell
- Volume: 29.04 Å³ per atom
- Energy relative to the elements: -0.14 eV per atom
- E: -4.306 eV per atom



(14)
Below is a relaxed structure of PmSm2Er5Tm, with properties calculated at the GGA-PBE level.

Lattice parameters (Å, degrees): 9.777 9.777 9.777 127.10 127.10 78.09
Sites, in units of the cell vectors:
Pm  0.250  0.250  0.000
Pm  0.750  0.750  0.000
Sm  0.116  0.616  0.731
Sm  0.384  0.116  0.500
Sm  0.616  0.884  0.500
Sm  0.884  0.384  0.269
Er  0.000  0.000  0.000
Er  0.072  0.154  0.500
Er  0.154  0.654  0.082
Er  0.346  0.428  0.500
Er  0.428  0.928  0.082
Er  0.500  0.500  0.000
Er  0.572  0.072  0.918
Er  0.654  0.572  0.500
Er  0.846  0.346  0.918
Er  0.928  0.846  0.500
Tm  0.250  0.750  0.500
Tm  0.750  0.250  0.500

Values from the calculation:
- DOS at the Fermi energy: 21.18 states/eV/cell
- Size of the total moment: 0.00 μB per cell
- Volume: 32.01 Å³ per atom
- Energy relative to the elements: 0.28 eV per atom
- E: -4.330 eV per atom